## La2Tb4Th (PBE)

Data for a relaxed La2Tb4Th crystal.

Mass density   7710 kg/m³
Formation energy from the elements   1.57 eV/f.u.

abc: 6.919 7.054 10.479
angles: 90.00 90.03 105.25
Sites, in units of the cell vectors:
La  0.500  0.000  0.500
Th  0.500  0.500  0.000
Tb  0.260  0.315  0.272
Tb  0.741  0.685  0.272
La  0.000  0.000  0.000
La  0.000  0.500  0.500
Tb  0.259  0.315  0.728
Th  0.000  0.500  0.000
La  0.000  0.000  0.500
Tb  0.283  0.810  0.209
Tb  0.283  0.810  0.791
Tb  0.740  0.685  0.728
Tb  0.717  0.190  0.209
Tb  0.717  0.190  0.791

---

## La4Tb8Th (PBE)

Data for a relaxed La4Tb8Th crystal.

Mass density   7089 kg/m³
Formation energy from the elements   6.74 eV/f.u.

abc: 7.842 7.842 7.842
angles: 90.19 90.19 90.19
Site moments in Bohr magnetons follow the coordinates.
Sites, in units of the cell vectors:
Tb  0.760  0.760  0.242  0.09
Tb  0.242  0.760  0.760  0.09
Tb  0.759  0.759  0.759  0.08
Tb  0.760  0.242  0.760  0.09
Tb  0.240  0.240  0.758  0.09
La  0.500  0.500  0.000  0.15
La  0.500  0.000  0.500  0.15
Th  0.500  0.500  0.500  0.05
Tb  0.240  0.758  0.240  0.09
La  0.000  0.500  0.500  0.15
Tb  0.241  0.241  0.241  0.08
La  0.000  0.000  0.000  -0.03
Tb  0.758  0.240  0.240  0.09